Computed, not measured: a relaxed structure of BeCoRu2 at the GGA-PBE level of DFT.

Geometry as CIF:
```
data_BeCoRu2
_cell_length_a 4.321
_cell_length_b 4.321
_cell_length_c 4.526
_cell_angle_alpha 100.11
_cell_angle_beta 100.11
_cell_angle_gamma 35.55
_space_group_name_H-M_alt 'P 1'
_space_group_IT_number 1
_space_group_name_Hall 'P 1'
loop_
_atom_site_label
_atom_site_type_symbol
_atom_site_fract_x
_atom_site_fract_y
_atom_site_fract_z
Be1 Be 0.000 0.000 0.000
Co1 Co 0.500 0.500 0.500
Ru1 Ru 0.248 0.248 0.755
Ru2 Ru 0.752 0.752 0.245
```

SG	C2/m, No. 12
energy of formation	11.6	kJ per mole of atoms